Record 1
# Y5MgAu4

A relaxed structure of Y5MgAu4 (PBE, the Alexandria database).

Calculated values
crystal system = tetragonal
calculated formation energy = -0.71 eV per atom
DOS(E_F) = 6.9 states/eV/cell
magnetization = 0.0 μB/f.u.

Cell lengths 3.6256, 3.6256, 18.3947 Å; angles 90.00, 90.00, 90.00 degrees
Closest atoms and distances in Å follow each position.
Atoms (fractional coordinates):
Au: 0.0000 0.0000 0.7976  8 Y 3.07-3.17
Y: 0.5000 0.5000 0.8896  4 Au 3.07, 4 Mg 3.27
Au: 0.0000 0.0000 0.5980  8 Y 3.13
Y: 0.5000 0.5000 0.1104  4 Au 3.07, 4 Mg 3.27
Y: 0.5000 0.5000 0.5000  8 Au 3.13
Y: 0.5000 0.5000 0.3041  8 Au 3.13-3.17
Y: 0.5000 0.5000 0.6959  8 Au 3.13-3.17
Au: 0.0000 0.0000 0.2024  8 Y 3.07-3.17
Au: 0.0000 0.0000 0.4020  8 Y 3.13
Mg: 0.0000 0.0000 0.0000  8 Y 3.27, 4 Mg 3.63

Record 2
# ZnCoCl2

A relaxed structure of ZnCoCl2 (PBE, the Alexandria database).

Calculated values
crystal system = orthorhombic
E_form (uncorrected) = -236 meV per atom
relative energy among the computed polymorphs = 0.42 eV/f.u.
DOS(E_F) = 3.7 states/eV/cell
magnetization = 1.5 μB/f.u.

Cell lengths 7.3112, 7.3112, 7.3112 Å; angles 154.05, 148.81, 41.00 degrees
Closest atoms and distances in Å follow each position.
Atoms (fractional coordinates):
Co: 0.7500 0.2500 0.5000  4 Cl 2.40, 4 Zn 2.56
Cl: 0.6221 0.6221 0.0000  2 Co 2.40, 2 Zn 2.63
Cl: 0.8779 0.8779 0.0000  2 Co 2.40, 2 Zn 2.63
Zn: 0.2500 0.7500 0.5000  4 Co 2.56, 4 Cl 2.63

Record 3
# Th6Co3Rh2S

A relaxed structure of Th6Co3Rh2S (PBE, the Alexandria database).

Calculated values
crystal system = monoclinic
E_form (uncorrected) = -697 meV per atom
DOS(E_F) = 6.9 states/eV/cell
magnetization = 0.0 μB/f.u.

Cell lengths 3.9745, 8.2020, 9.1298 Å; angles 104.33, 102.57, 90.00 degrees
Closest atoms and distances in Å follow each position.
Atoms (fractional coordinates):
Th: 0.3370 0.4115 0.6740  3 Co 2.81-2.83, 3 Rh 2.93
Th: 0.6719 0.0736 0.3437  3 Co 2.77-2.89, 2 Rh 2.90, 1 S 2.97
Rh: 0.1669 0.3286 0.3337  6 Th 2.90-2.93
Co: 0.1605 0.8327 0.3210  6 Th 2.75-2.89
Co: 0.8395 0.1673 0.6790  6 Th 2.75-2.89
Th: 0.3281 0.9264 0.6563  3 Co 2.77-2.89, 2 Rh 2.90, 1 S 2.97
Th: 0.9987 0.2661 0.9974  3 Co 2.75-2.76, 1 Rh 2.91, 2 S 2.96
Rh: 0.8331 0.6714 0.6663  6 Th 2.90-2.93
Co: 0.5000 0.5000 0.0000  6 Th 2.76-2.81
Th: 0.0013 0.7339 0.0026  3 Co 2.75-2.76, 1 Rh 2.91, 2 S 2.96
S: 0.5000 0.0000 0.0000  6 Th 2.96-2.97
Th: 0.6630 0.5885 0.3260  3 Co 2.81-2.83, 3 Rh 2.93

Record 4
# ZrBeAlCo

A relaxed structure of ZrBeAlCo (PBE, the Alexandria database).

Calculated values
crystal system = cubic
calculated formation energy = -0.40 eV per atom
DOS(E_F) = 0.3 states/eV/cell
magnetization = 0.0 μB/f.u.

Cell lengths 4.2610, 4.2610, 4.2610 Å; angles 60.00, 60.00, 60.00 degrees
Closest atoms and distances in Å follow each position.
Atoms (fractional coordinates):
Al: 0.2500 0.2500 0.2500  4 Be 2.61, 4 Co 2.61
Zr: 0.7500 0.7500 0.7500  4 Co 2.61, 4 Be 2.61
Be: 0.5000 0.5000 0.5000  4 Zr 2.61, 4 Al 2.61
Co: 0.0000 0.0000 0.0000  4 Al 2.61, 4 Zr 2.61